Entry 1
A geometry-optimized Hg2OsPt structure. Source: Alexandria via LeMat-Bulk, functional GGA-PBEsol.

Geometry as POSCAR:
```
Hg2OsPt
1.0
2.852 0.002 0.000
-1.385 2.493 0.000
0.000 0.000 9.585
Hg Os Pt
2 1 1
Direct
0.000 0.000 0.251
0.000 0.000 0.749
0.500 0.500 0.500
0.500 0.500 0.000
```

Summary:
Symmetry: Cmmm

=====

Entry 2
A geometry-optimized Hg2OsPt structure. Source: Alexandria via LeMat-Bulk, functional GGA-PBEsol.

Geometry as POSCAR:
```
Hg2OsPt
1.0
4.578 0.000 0.000
2.289 3.965 0.000
2.289 1.322 3.738
Pt Hg Os
1 2 1
Direct
0.500 0.500 0.500
0.250 0.250 0.250
0.750 0.750 0.750
0.000 0.000 0.000
```

Summary:
Symmetry: Fm-3m

=====

Entry 3
A geometry-optimized Hg2OsPt structure. Source: Alexandria via LeMat-Bulk, functional GGA-PBEsol.

Geometry as POSCAR:
```
Hg2OsPt
1.0
2.889 0.000 0.000
1.444 2.502 0.000
1.444 0.834 9.542
Pt Hg Os
1 2 1
Direct
0.244 0.244 0.269
0.995 0.995 0.016
0.756 0.756 0.733
0.506 0.506 0.482
```

Summary:
Symmetry: R3m

=====

The most stable arrangement is entry 3, and the next structure is 0.130 eV/atom less stable.

=====

Entry 1
A geometry-optimized Hg2OsPt structure. Source: Alexandria via LeMat-Bulk, functional GGA-PBEsol.

Geometry as POSCAR:
```
Hg2OsPt
1.0
4.170 0.000 0.000
0.000 4.170 0.000
-2.085 -2.085 3.906
Pt Hg Os
1 2 1
Direct
0.250 0.750 0.500
0.000 0.000 0.000
0.750 0.250 0.500
0.500 0.500 0.000
```

Summary:
Symmetry: I-4m2

=====

Entry 2
A geometry-optimized Hg2OsPt structure. Source: Alexandria via LeMat-Bulk, functional GGA-PBEsol.

Geometry as POSCAR:
```
Hg2OsPt
1.0
-1.829 1.859 1.209
-2.214 -1.618 -0.861
0.351 -4.219 7.019
Os Hg Pt
1 2 1
Direct
0.500 0.500 0.000
0.000 0.000 0.750
0.000 0.000 0.250
0.500 0.500 0.500
```

Summary:
Symmetry: P4/mmm

=====

The most stable arrangement is entry 2, and the next structure is 0.106 eV/atom less stable.

=====

Entry 1
A geometry-optimized ReHg2Os structure. Source: Alexandria via LeMat-Bulk, functional GGA-PBEsol.

Geometry as POSCAR:
```
ReHg2Os
1.0
2.845 0.000 0.000
0.000 4.862 0.000
0.000 0.000 4.890
Hg Re Os
2 1 1
Direct
0.000 0.000 0.000
0.500 0.500 0.000
0.000 0.500 0.500
0.500 0.000 0.500
```

Summary:
Symmetry: Pmmm

=====

Entry 2
A geometry-optimized ReHg2Os structure. Source: Alexandria via LeMat-Bulk, functional GGA-PBEsol.

Geometry as POSCAR:
```
ReHg2Os
1.0
-1.628 1.839 3.364
1.246 -4.639 0.561
3.547 -0.665 2.080
Hg Os Re
2 1 1
Direct
0.000 0.000 0.000
0.250 0.500 0.250
0.500 0.000 0.500
0.750 0.500 0.750
```

Summary:
Symmetry: I-4m2

=====

The most stable arrangement is entry 1, and the next structure is 0.056 eV/atom less stable.

=====

Entry 1
A geometry-optimized Hg2OsRu structure. Source: Alexandria via LeMat-Bulk, functional GGA-PBEsol.

Geometry as POSCAR:
```
Hg2OsRu
1.0
2.820 0.000 0.000
0.000 4.093 0.000
0.000 0.000 5.764
Ru Os Hg
1 1 2
Direct
0.500 0.500 0.500
0.500 0.500 0.000
0.000 0.000 0.251
0.000 0.000 0.749
```

Summary:
Symmetry: Pmmm

=====

Entry 2
A geometry-optimized Hg2OsRu structure. Source: Alexandria via LeMat-Bulk, functional GGA-PBEsol.

Geometry as POSCAR:
```
Hg2OsRu
1.0
2.874 0.000 0.000
-1.437 4.625 -0.001
0.000 -0.887 4.948
Os Hg Ru
1 2 1
Direct
0.500 0.000 0.000
0.749 0.499 0.748
0.251 0.501 0.252
0.000 0.000 0.500
```

Summary:
Symmetry: C2/m

=====

Entry 3
A geometry-optimized Hg2OsRu structure. Source: Alexandria via LeMat-Bulk, functional GGA-PBEsol.

Geometry as POSCAR:
```
Hg2OsRu
1.0
2.819 0.000 -0.001
0.000 4.786 0.000
-0.072 0.000 4.943
Ru Hg Os
1 2 1
Direct
0.000 0.500 0.500
0.747 0.000 0.749
0.253 0.000 0.251
0.500 0.500 0.000
```

Summary:
Symmetry: P2/m

=====

The most stable arrangement is entry 2, and the next structure is 0.062 eV/atom less stable.